(1)
A geometry-optimized Pm3Sm3Tl2Co structure, computed with PBE-GGA.

Structure (extended XYZ):
```
9
Lattice="-1.4287 1.8566 2.9921 -5.0244 -7.0687 1.9871 8.1730 0.7552 3.4339" Properties=species:S:1:pos:R:3 pbc="T T T"
Tl 3.0595 -0.9244 4.4477
Tl -1.3397 -3.5324 3.9654
Sm 1.8848 -3.7793 3.2450
Co 0.0000 0.0000 0.0000
Pm 5.5616 1.5083 4.1329
Pm -4.5726 -4.4996 3.0219
Pm 0.0164 -0.5371 2.7543
Sm -2.0167 -2.8373 0.7976
Sm 3.2805 0.3031 1.3783
```

Summary:
- formation energy (meV/atom) = -216
- Fermi-level density of states (states/eV per atom) = 1.26

=====

(2)
A geometry-optimized Ho2H4Rh structure, computed with PBE-GGA.

Structure (extended XYZ):
```
7
Lattice="-0.2663 1.8937 -3.0408 2.8139 -1.7764 -1.3527 -2.5490 -4.2218 -4.5276" Properties=species:S:1:pos:R:3 pbc="T T T"
Ho 0.1247 -1.2280 -2.8974
Rh 0.0000 0.0000 0.0000
H -0.1332 0.9468 -1.5204
H -1.3973 -2.9323 -3.8255
Ho -0.1261 -2.8765 -6.0238
H 1.4070 -0.8882 -0.6764
H 1.3960 -1.1722 -5.0957
```

Summary:
- Fermi-level density of states (states/eV per atom) = 0.52
- E (eV per atom) = -4.7533

=====

(3)
A geometry-optimized Zn2HPd4 structure, computed with PBE-GGA.

Structure (extended XYZ):
```
14
Lattice="7.1451 -0.4517 0.1332 -0.9039 5.5530 -1.3335 -2.7909 -3.5864 5.5557" Properties=species:S:1:pos:R:3 pbc="T T T"
Pd 5.2121 2.4247 0.6864
Pd 3.3301 -2.8616 4.0941
Pd 0.6287 -1.9702 4.0916
Zn -1.7214 -0.8463 3.7058
Pd -2.4019 1.6620 3.0676
H 4.3166 -3.5951 5.5084
Pd 1.3372 -1.0112 1.5037
Pd 5.7784 -0.4076 1.2485
Zn 2.8447 3.5093 0.2961
H -0.6784 1.8124 1.9904
Zn 3.2481 0.6996 1.0054
Pd 0.8405 1.8227 0.6575
Pd 0.2772 0.8459 3.3939
Zn 2.6611 -0.3277 3.7166
```

Summary:
- relative energy among the computed polymorphs (eV per formula unit) = 0.000
- Fermi-level density of states (states/eV per atom) = 0.30

=====

(4)
A geometry-optimized K2In7Bi structure, computed with PBE-GGA.

Structure (extended XYZ):
```
10
Lattice="5.0928 0.0000 0.0000 0.0000 5.0928 0.0000 0.0000 0.0000 12.6198" Properties=species:S:1:pos:R:3 pbc="T T T"
In 2.5464 0.0000 1.7858
In 2.5464 2.5464 6.3099
K 2.5464 0.0000 9.4022
In 0.0000 0.0000 0.0000
Bi 2.5464 2.5464 0.0000
K 0.0000 2.5464 3.2176
In 0.0000 0.0000 6.3099
In 0.0000 2.5464 7.9471
In 2.5464 0.0000 4.6727
In 0.0000 2.5464 10.8340
```

Summary:
- formation energy (meV/atom) = -129
- Fermi-level density of states (states/eV per atom) = 0.39

=====

(5)
A geometry-optimized MnInSb3 structure, computed with PBE-GGA.

Structure (extended XYZ):
```
5
Lattice="-3.2445 -2.8315 3.4546 -1.7387 -3.1324 -4.2004 4.1144 -3.5566 0.9491" Properties=species:S:1:pos:R:3 pbc="T T T"
Sb 2.0572 -1.7783 0.4746
Mn -0.4344 -4.7602 0.1017
Sb -1.6222 -1.4157 1.7273
Sb -0.8694 -1.5662 -2.1002
In 0.0000 0.0000 0.0000
```

Summary:
- relative energy among the computed polymorphs (eV per formula unit) = 6.289
- Fermi-level density of states (states/eV per atom) = 1.74
- formation energy (no corrections) (eV per atom) = 1.627

=====

(6)
A geometry-optimized LiMnRhW structure, computed with PBE-GGA.

Structure (extended XYZ):
```
4
Lattice="4.2167 0.0000 0.0000 2.1083 3.6517 0.0000 2.1083 1.2172 3.4429" Properties=species:S:1:pos:R:3 pbc="T T T"
Li 2.1083 1.2172 0.8607
Rh 0.0000 0.0000 0.0000
W 6.3250 3.6517 2.5822
Mn 4.2167 2.4345 1.7214
```

Summary:
- formation energy (meV/atom) = 68
- Fermi-level density of states (states/eV per atom) = 1.24

=====

- The lowest Fermi-level density of states belongs to which entry?
  Zn2HPd4

=====

- Which of these has the highest Fermi-level density of states?
  MnInSb3